(1)
# Tb6Ho2Sc3In PBE relaxed
# Formation energy (meV/atom): -27
# Energy (eV per atom): -4.916
data_Tb6Ho2Sc3In
_chemical_formula_sum 'Tb6 Ho2 Sc3 In1'
_space_group_name_H-M_alt 'P 1'
_space_group_IT_number 1
_space_group_name_Hall 'P 1'
_cell_length_a 5.979
_cell_length_b 5.979
_cell_length_c 11.355
_cell_angle_alpha 95.03
_cell_angle_beta 95.03
_cell_angle_gamma 120.00
loop_
_atom_site_label
_atom_site_type_symbol
_atom_site_fract_x
_atom_site_fract_y
_atom_site_fract_z
Tb1 Tb 0.914 0.584 0.743
Tb2 Tb 0.756 0.756 0.258
Tb3 Tb 0.086 0.416 0.257
Tb4 Tb 0.584 0.914 0.743
Tb5 Tb 0.244 0.244 0.742
Tb6 Tb 0.416 0.086 0.257
Ho1 Ho 0.334 0.666 0.000
Ho2 Ho 0.666 0.334 0.000
Sc1 Sc 0.167 0.833 0.500
Sc2 Sc 0.833 0.167 0.500
Sc3 Sc 0.500 0.500 0.500
In1 In 0.000 0.000 0.000

=====

(2)
# Ho3CoBi PBE relaxed
# Excess energy over the best structure of this formula in the dataset (meV per atom): 0
# Formation energy (meV/atom): -449
# Energy (eV per atom): -5.393
data_Ho3CoBi
_chemical_formula_sum 'Ho6 Co2 Bi2'
_space_group_name_H-M_alt 'P 1'
_space_group_IT_number 1
_space_group_name_Hall 'P 1'
_cell_length_a 4.286
_cell_length_b 7.979
_cell_length_c 8.389
_cell_angle_alpha 114.76
_cell_angle_beta 90.00
_cell_angle_gamma 90.00
loop_
_atom_site_label
_atom_site_type_symbol
_atom_site_fract_x
_atom_site_fract_y
_atom_site_fract_z
Ho1 Ho 0.750 0.681 0.409
Ho2 Ho 0.250 0.319 0.591
Ho3 Ho 0.750 0.328 0.912
Ho4 Ho 0.250 0.962 0.752
Ho5 Ho 0.250 0.672 0.088
Ho6 Ho 0.750 0.038 0.248
Co1 Co 0.250 0.933 0.415
Co2 Co 0.750 0.067 0.585
Bi1 Bi 0.250 0.324 0.201
Bi2 Bi 0.750 0.676 0.799

=====

> What is the formula in the second record?

Ho3CoBi

=====

> energy of number 1 (Tb6Ho2Sc3In)?

-4.916 eV per atom

=====

> Among the records above, which one has the lowest energy?

Ho3CoBi

=====

> Among the records above, which one has the highest energy?

Tb6Ho2Sc3In